[1]
CaNd2F8 | PBE | relaxed

Properties
**VASP energy**: -6.35 eV/atom
**Formation energy from raw total energies**: -3.9441 eV per atom
**Total moment**: 0.148 Bohr magnetons per cell
**Calculated volume**: 12.6 Å³ per atom

Cell lengths 7.0885, 7.0885, 7.0885 Å; angles 146.87, 134.08, 57.78 degrees
Closest atoms and distances in Å follow each position.
Sites, in units of the cell vectors:
Ca1 0.0000 0.0000 0.0000  8 F 2.29-2.51
Nd1 0.3257 0.3257 0.0000  10 F 2.44-2.69
Nd2 0.6743 0.6743 0.0000  10 F 2.44-2.69
F1 0.1186 0.8569 0.2616  1 Ca 2.29, 3 F 2.41-2.56, 2 Nd 2.44
F2 0.1940 0.6940 0.5000  6 F 2.41-2.56, 2 Nd 2.60
F3 0.2703 0.5000 0.7703  2 Nd 2.51, 2 Ca 2.51, 5 F 2.54-2.69
F4 0.4047 0.1431 0.2616  1 Ca 2.29, 3 F 2.41-2.56, 2 Nd 2.44
F5 0.5953 0.8569 0.7384  1 Ca 2.29, 3 F 2.41-2.56, 2 Nd 2.44
F6 0.7297 0.5000 0.2297  2 Nd 2.51, 2 Ca 2.51, 5 F 2.54-2.69
F7 0.8060 0.3060 0.5000  6 F 2.41-2.56, 2 Nd 2.60
F8 0.8814 0.1431 0.7384  1 Ca 2.29, 3 F 2.41-2.56, 2 Nd 2.44

***

[2]
CaNdF | PBE | relaxed

Properties
**VASP energy**: -4.45 eV/atom
**Formation energy from raw total energies**: -1.5669 eV per atom
**E above lowest polymorph**: 0.0 meV/atom
**Total moment**: 0.067 Bohr magnetons per cell
**Calculated volume**: 25.1 Å³ per atom

Cell lengths 3.6576, 3.6576, 6.4922 Å; angles 90.00, 90.00, 120.00 degrees
Closest atoms and distances in Å follow each position.
Sites, in units of the cell vectors:
Ca1 0.0000 0.0000 0.0000  3 F 2.47
Nd1 0.3333 0.6667 0.5200  3 F 2.97
F1 0.6667 0.3333 0.1975  3 Ca 2.47

***

[3]
CaNd2F | PBE | relaxed

Properties
**VASP energy**: -4.32 eV/atom
**Formation energy from raw total energies**: -0.9696 eV per atom
**Total moment**: 0.000 Bohr magnetons per cell
**Calculated volume**: 30.1 Å³ per atom

Cell lengths 3.8148, 3.8148, 28.6646 Å; angles 90.00, 90.00, 120.00 degrees
Closest atoms and distances in Å follow each position.
Sites, in units of the cell vectors:
Ca1 0.0000 0.0000 0.0000  2 Nd 3.40
Ca2 0.3333 0.6667 0.6667  2 Nd 3.40
Ca3 0.6667 0.3333 0.3333  2 Nd 3.40
Nd1 0.0000 0.0000 0.1187  3 F 2.60
Nd2 0.0000 0.0000 0.8813  3 F 2.60
Nd3 0.3333 0.6667 0.5480  3 F 2.60
Nd4 0.3333 0.6667 0.7853  3 F 2.60
Nd5 0.6667 0.3333 0.2147  3 F 2.60
Nd6 0.6667 0.3333 0.4520  3 F 2.60
F1 0.0000 0.0000 0.5000  6 Nd 2.60
F2 0.3333 0.6667 0.1667  6 Nd 2.60
F3 0.6667 0.3333 0.8333  6 Nd 2.60

***

> Number 1 is which compound?

CaNd2F8

***

> Look up the VASP energy of the third one.

-4.32 eV/atom

***

> Number 3 is which compound?

CaNd2F

***

> Number 2 is which compound?

CaNdF